Below is NdY2Ho7 after structural relaxation, with properties calculated at the PBE level.

a b c (Å): 6.150 9.384 9.387
angles (deg): 141.76 109.01 77.46
Fractional coordinates of all 10 atoms:
Nd (0.000, 0.000, 0.000)
Y (0.499, 0.900, 0.600)
Y (0.501, 0.100, 0.400)
Ho (0.999, 0.599, 0.398)
Ho (0.001, 0.401, 0.602)
Ho (0.500, 0.698, 0.799)
Ho (0.500, 0.302, 0.201)
Ho (0.999, 0.799, 0.199)
Ho (0.001, 0.201, 0.801)
Ho (0.500, 0.500, 0.000)

Calculated values
**V**: 31.636 Å³ per atom
**Energy relative to the lowest polymorph listed for this composition**: 0.000 kcal/mol of atoms
**ρ**: 7.750 g/cm3
**Calculated total energy**: -49.515 eV for the cell shown

Below is Nd12Y7Ho after structural relaxation, with properties calculated at the PBE level.

a b c (Å): 6.831 11.170 11.170
angles (deg): 64.04 78.24 101.76
Fractional coordinates of all 20 atoms:
Nd (0.727, 0.476, 0.065)
Nd (0.208, 0.935, 0.541)
Nd (0.286, 0.212, 0.210)
Nd (0.504, 0.790, 0.422)
Nd (0.749, 0.541, 0.524)
Nd (0.926, 0.422, 0.788)
Nd (0.074, 0.578, 0.212)
Nd (0.251, 0.459, 0.476)
Nd (0.496, 0.210, 0.578)
Nd (0.714, 0.788, 0.790)
Nd (0.792, 0.065, 0.459)
Nd (0.273, 0.524, 0.935)
Y (0.785, 0.161, 0.141)
Y (0.074, 0.859, 0.302)
Y (0.376, 0.302, 0.839)
Y (0.500, 0.000, 0.000)
Y (0.624, 0.698, 0.161)
Y (0.926, 0.141, 0.698)
Y (0.215, 0.839, 0.859)
Ho (0.000, 0.000, 0.000)

Calculated values
**V**: 35.371 Å³ per atom
**Energy relative to the lowest polymorph listed for this composition**: 0.095 kcal/mol of atoms
**ρ**: 5.911 g/cm3
**Calculated total energy**: -101.465 eV for the cell shown

calculated total energy of number 1 (NdY2Ho7)?
-49.515 eV for the cell shown